1.
Computed, not measured: crystalline K3RbAs2O6 at its relaxed geometry at the PBE level of DFT.

```
12
Lattice="6.4138 0.0000 0.0000 -3.2069 5.5545 0.0000 0.0000 0.0000 7.4416" Properties=species:S:1:pos:R:3 pbc="T T T"
K 0.0000 0.0000 0.0000
K 0.0000 3.7030 5.0589
K 3.2069 1.8515 2.3828
Rb 0.0000 0.0000 3.7208
As 0.0000 3.7030 1.3604
As 3.2069 1.8515 6.0813
O 0.0000 2.0658 1.9208
O -1.4179 4.5216 1.9208
O 1.7890 1.0329 5.5208
O 1.4179 4.5216 1.9208
O 4.6248 1.0329 5.5208
O 3.2069 3.4887 5.5208
```

Values from the calculation:
Density of states at the Fermi level = 0.14 states/eV per atom
Uncorrected energy = -5.059 eV per atom
Formation energy (no corrections) = -1.450 eV per atom
M_tot = 0.1670 μB per atom

2.
Computed, not measured: crystalline LiIn2IrCl at its relaxed geometry at the PBE level of DFT.

```
5
Lattice="5.1947 0.0000 0.0000 0.0000 5.1947 0.0000 0.0000 0.0000 5.2352" Properties=species:S:1:pos:R:3 pbc="T T T"
Li 0.0000 0.0000 0.0000
In 0.0000 2.5974 2.6176
In 2.5974 0.0000 2.6176
Ir 2.5974 2.5974 2.6176
Cl 2.5974 2.5974 0.0000
```

Values from the calculation:
Density of states at the Fermi level = 0.50 states/eV per atom
Uncorrected energy = -3.582 eV per atom
Formation energy (no corrections) = 0.038 eV per atom
M_tot = 0.0000 μB per atom

3.
Computed, not measured: crystalline CeNd8Dy3 at its relaxed geometry at the PBE level of DFT.

```
12
Lattice="-4.3718 4.3718 5.7791 4.3718 -4.3718 5.7791 4.3718 4.3718 -5.7791" Properties=species:S:1:pos:R:3 pbc="T T T"
Ce 0.0000 0.0000 0.0000
Nd 3.3066 3.3066 -2.9884
Nd 2.0783 2.0783 -0.2184
Nd 2.2935 -2.2935 5.9975
Nd 1.0652 1.0652 2.7907
Nd 1.0652 -1.0652 8.7674
Nd 2.2935 2.2935 5.5606
Nd -2.2935 2.2935 5.9975
Nd -1.0652 1.0652 8.7674
Dy 4.3718 0.0000 2.8895
Dy 0.0000 0.0000 5.7791
Dy 0.0000 4.3718 2.8895
```

Values from the calculation:
Density of states at the Fermi level = 1.64 states/eV per atom
Energy of formation from the pure elements = 545 meV per atom
Uncorrected energy = -4.278 eV per atom
M_tot = 0.0003 μB per atom

4.
Computed, not measured: crystalline Dy2Ho13 at its relaxed geometry at the PBE level of DFT.

```
15
Lattice="4.3448 2.5084 8.0216 -4.3448 2.5084 8.0216 0.0000 -5.0169 8.0216" Properties=species:S:1:pos:R:3 pbc="T T T"
Dy 0.0000 0.0000 5.8870
Dy 0.0000 0.0000 18.1779
Ho 0.0000 -3.1949 5.3946
Ho -2.7669 1.5975 5.3946
Ho 0.0000 -1.8678 8.7597
Ho -1.6176 0.9339 8.7597
Ho -2.7669 -1.5975 18.6703
Ho -1.6176 -0.9339 15.3051
Ho 0.0000 0.0000 12.0324
Ho 1.6176 0.9339 8.7597
Ho 2.7669 1.5975 5.3946
Ho 1.6176 -0.9339 15.3052
Ho 0.0000 1.8678 15.3052
Ho 2.7669 -1.5975 18.6703
Ho 0.0000 3.1949 18.6703
```

Values from the calculation:
Density of states at the Fermi level = 1.28 states/eV per atom
Energy of formation from the pure elements = 604 meV per atom
Uncorrected energy = -3.977 eV per atom
M_tot = 0.0000 μB per atom

5.
Computed, not measured: crystalline CaRe2Si at its relaxed geometry at the PBE level of DFT.

```
4
Lattice="3.0395 0.0000 0.0000 0.0000 3.0395 0.0000 0.0000 0.0000 7.6411" Properties=species:S:1:pos:R:3 pbc="T T T"
Ca 0.0000 0.0000 0.0000
Re 0.0000 0.0000 3.9205
Re 1.5198 1.5198 2.4228
Si 1.5198 1.5198 5.4247
```

Values from the calculation:
Density of states at the Fermi level = 0.79 states/eV per atom
Uncorrected energy = -7.999 eV per atom
Formation energy (no corrections) = 0.081 eV per atom
M_tot = 0.0000 μB per atom

6.
Computed, not measured: crystalline TbIn4Rh5 at its relaxed geometry at the PBE level of DFT.

```
10
Lattice="3.3162 0.0000 0.0000 0.0000 3.3162 0.0000 0.0000 0.0000 16.0013" Properties=species:S:1:pos:R:3 pbc="T T T"
Tb 0.0000 0.0000 0.0000
In 0.0000 0.0000 3.2863
In 0.0000 0.0000 6.4293
In 0.0000 0.0000 9.5720
In 0.0000 0.0000 12.7150
Rh 1.6581 1.6581 1.7403
Rh 1.6581 1.6581 4.8671
Rh 1.6581 1.6581 8.0007
Rh 1.6581 1.6581 11.1342
Rh 1.6581 1.6581 14.2610
```

Values from the calculation:
Density of states at the Fermi level = 0.44 states/eV per atom
Energy of formation from the pure elements = -506 meV per atom
Uncorrected energy = -5.740 eV per atom
M_tot = 0.0000 μB per atom

7.
Computed, not measured: crystalline TaMoOs at its relaxed geometry at the PBE level of DFT.

```
6
Lattice="2.8264 0.0000 0.0000 0.8222 5.0773 0.0000 1.1427 0.9360 6.7342" Properties=species:S:1:pos:R:3 pbc="T T T"
Ta 0.0000 0.0000 0.0000
Ta 2.0824 2.2205 4.3789
Mo 2.9996 3.4833 6.7336
Mo 2.7806 3.8338 2.2768
Os 0.8347 1.2577 2.1456
Os 4.0178 4.7572 4.5284
```

Values from the calculation:
Density of states at the Fermi level = 0.87 states/eV per atom
Energy of formation from the pure elements = -41 meV per atom
Uncorrected energy = -11.345 eV per atom
M_tot = 0.0000 μB per atom

8.
Computed, not measured: crystalline NdSiNiC at its relaxed geometry at the PBE level of DFT.

```
8
Lattice="3.8248 0.0000 0.0000 0.0000 3.8248 0.0000 0.0000 0.0000 8.5291" Properties=species:S:1:pos:R:3 pbc="T T T"
Nd 0.9562 0.9562 1.3221
Nd 2.8686 2.8686 7.2071
Si 0.9562 0.9562 5.5522
Si 2.8686 2.8686 2.9770
Ni 0.9562 2.8686 4.2646
Ni 2.8686 0.9562 4.2646
C 0.9562 0.9562 7.3585
C 2.8686 2.8686 1.1707
```

Values from the calculation:
Density of states at the Fermi level = 0.35 states/eV per atom
Uncorrected energy = -6.761 eV per atom
Formation energy (no corrections) = -0.462 eV per atom
M_tot = 0.0000 μB per atom

9.
Computed, not measured: crystalline OsRu at its relaxed geometry at the PBE level of DFT.

```
12
Lattice="6.7749 0.0000 0.0000 0.0000 6.7749 0.0000 0.0000 0.0000 6.7749" Properties=species:S:1:pos:R:3 pbc="T T T"
Os 0.0000 1.6937 3.3874
Os 0.0000 5.0811 3.3874
Os 1.6937 3.3874 0.0000
Os 3.3874 0.0000 1.6937
Os 3.3874 0.0000 5.0811
Os 5.0811 3.3874 0.0000
Ru 0.0000 3.3874 1.6937
Ru 0.0000 3.3874 5.0811
Ru 1.6937 0.0000 3.3874
Ru 3.3874 1.6937 0.0000
Ru 3.3874 5.0811 0.0000
Ru 5.0811 0.0000 3.3874
```

Values from the calculation:
Density of states at the Fermi level = 1.74 states/eV per atom
Energy of formation from the pure elements = 1664 meV per atom
Uncorrected energy = -8.589 eV per atom
M_tot = 0.0000 μB per atom

10.
Computed, not measured: crystalline Li4DyTh at its relaxed geometry at the PBE level of DFT.

```
6
Lattice="0.0000 4.1143 4.1143 4.1143 0.0000 4.1143 4.1143 4.1143 0.0000" Properties=species:S:1:pos:R:3 pbc="T T T"
Li 1.0304 1.0304 1.0304
Li 3.0840 3.0840 1.0304
Li 3.0840 1.0304 3.0840
Li 1.0304 3.0840 3.0840
Dy 4.1143 4.1143 4.1143
Th 6.1715 6.1715 6.1715
```

Values from the calculation:
Density of states at the Fermi level = 1.03 states/eV per atom
Energy of formation from the pure elements = 194 meV per atom
Uncorrected energy = -3.085 eV per atom
M_tot = 0.0000 μB per atom

11.
Computed, not measured: crystalline LaMnFeC2 at its relaxed geometry at the PBE level of DFT.

```
5
Lattice="-1.7406 1.7406 5.2570 1.7406 -1.7406 5.2570 1.7406 1.7406 -5.2570" Properties=species:S:1:pos:R:3 pbc="T T T"
La 0.0000 0.0000 0.0000
Mn 1.7406 0.0000 2.6285
Fe 0.0000 1.7406 2.6285
C 0.0000 0.0000 3.5136
C 0.0000 0.0000 7.0004
```

Values from the calculation:
Density of states at the Fermi level = 0.73 states/eV per atom
Energy of formation from the pure elements = -198 meV per atom
Uncorrected energy = -8.400 eV per atom
M_tot = 0.2849 μB per atom